# 1
Compound: Li2WCl
Source: Alexandria
Functional: PBE-GGA
Structure: optimized geometry

a b c (Å): 6.8389 6.8389 6.8389
angles (deg): 90.00 90.00 90.00
Closest atoms and distances in Å follow each position.
Space group F-43m (No. 216)
Symmetry-distinct sites (fractional):
Li 0.0000 0.0000 0.0000 (multiplicity 4)  4 Li 2.96, 4 W 2.96
Li 0.2500 0.2500 0.2500 (multiplicity 4)  4 Cl 2.96, 4 Li 2.96
W 0.2500 0.2500 0.7500 (multiplicity 4)  4 Cl 2.96, 4 Li 2.96
Cl 0.0000 0.0000 0.5000 (multiplicity 4)  4 W 2.96, 4 Li 2.96

- Magnetization: 1.248 μB per atom
- Polymorph energy (0 for the lowest one): 4.83 eV per formula unit

# 2
Compound: Li2WCl
Source: Alexandria
Functional: PBE-GGA
Structure: optimized geometry

a b c (Å): 3.6057 3.6057 9.5179
angles (deg): 90.00 90.00 90.00
Closest atoms and distances in Å follow each position.
Space group I-4m2 (No. 119)
Symmetry-distinct sites (fractional):
Li 0.0000 0.0000 0.0000 (multiplicity 2)  4 Cl 2.55
Li 0.0000 0.5000 0.2500 (multiplicity 2)  4 W 2.55
W 0.0000 0.5000 0.7500 (multiplicity 2)  4 Li 2.55
Cl 0.0000 0.0000 0.5000 (multiplicity 2)  4 Li 2.55

- Magnetization: 0.455 μB per atom
- Polymorph energy (0 for the lowest one): 3.72 eV per formula unit

# 3
Compound: LiWCl2
Source: Alexandria
Functional: PBE-GGA
Structure: optimized geometry

a b c (Å): 10.3525 3.0148 6.6812
angles (deg): 90.00 104.15 90.00
Closest atoms and distances in Å follow each position.
Space group Cm (No. 8)
Symmetry-distinct sites (fractional):
Li 0.0000 0.0000 0.0000 (multiplicity 2)  2 Cl 2.66, 3 W 2.86-2.88
W 0.2138 0.5000 0.9115 (multiplicity 2)  4 Cl 2.40-2.46
Cl 0.1472 0.0000 0.6261 (multiplicity 2)  2 W 2.40
Cl 0.3461 0.0000 0.1747 (multiplicity 2)  2 W 2.46, 2 Li 2.66

- Magnetization: 0.248 μB per atom
- Polymorph energy (0 for the lowest one): 1.59 eV per formula unit

Calculated E_form (uncorrected) in order - 385, 277, -18 kJ/mol of formula units
Calculated V in order - 320, 124, 202 Å³/cell
Calculated energy in order - -3.660, -3.939, -4.686 eV per atom